[1]
Density functional theory data (GGA-PBE) for a geometry-optimized MoCl3 structure.

The structure in CIF format:
```
data_MoCl3
_cell_length_a 5.8037
_cell_length_b 10.0941
_cell_length_c 13.7056
_cell_angle_alpha 90.00
_cell_angle_beta 92.27
_cell_angle_gamma 90.00
_symmetry_space_group_name_H-M 'C 1 2/m 1'
_symmetry_Int_Tables_number 12
_symmetry_space_group_name_Hall '-C 2y'
loop_
_atom_site_label
_atom_site_fract_x
_atom_site_fract_y
_atom_site_fract_z
Mo1 0.0000 0.1294 0.0000
Mo2 0.0000 0.1869 0.5000
Cl1 0.1529 0.0000 0.8724
Cl2 0.1538 0.3241 0.9009
Cl3 0.1649 0.0000 0.4075
Cl4 0.1673 0.3362 0.3860
```

Summary:
The calculation puts the density of states at the Fermi level at 0.103 states/eV per atom. Its relative energy among the computed polymorphs is 42 meV/atom. The uncorrected formation energy comes out at -0.82 eV per atom.


[2]
Density functional theory data (GGA-PBE) for a geometry-optimized SrPSe structure.

The structure in CIF format:
```
data_SrPSe
_cell_length_a 7.5501
_cell_length_b 4.6268
_cell_length_c 9.8858
_cell_angle_alpha 90.00
_cell_angle_beta 91.35
_cell_angle_gamma 90.00
_symmetry_space_group_name_H-M 'C 1 m 1'
_symmetry_Int_Tables_number 8
_symmetry_space_group_name_Hall 'C -2y'
loop_
_atom_site_label
_atom_site_fract_x
_atom_site_fract_y
_atom_site_fract_z
Sr1 0.0000 0.0000 0.0000
Sr2 0.1840 0.5000 0.3723
P1 0.1612 0.5000 0.8158
P2 0.3900 0.0000 0.7674
Se1 0.3398 0.0000 0.1844
Se2 0.3461 0.0000 0.5366
```

Summary:
The calculation puts the density of states at the Fermi level at 0.213 states/eV per atom. The uncorrected formation energy comes out at -1.06 eV per atom.


[3]
Density functional theory data (GGA-PBE) for a geometry-optimized KReW3 structure.

The structure in CIF format:
```
data_KReW3
_cell_length_a 4.4278
_cell_length_b 4.4278
_cell_length_c 4.4278
_cell_angle_alpha 90.00
_cell_angle_beta 90.00
_cell_angle_gamma 90.00
_symmetry_space_group_name_H-M 'P m -3 m'
_symmetry_Int_Tables_number 221
_symmetry_space_group_name_Hall '-P 4 2 3'
loop_
_atom_site_label
_atom_site_fract_x
_atom_site_fract_y
_atom_site_fract_z
K1 0.0000 0.0000 0.0000
Re1 0.5000 0.5000 0.5000
W1 0.0000 0.0000 0.5000
```

Summary:
The calculated formation energy is 3.70 eV/atom. The calculation puts the density of states at the Fermi level at 1.046 states/eV per atom. Its relative energy among the computed polymorphs is 1619 meV/atom.


[4]
Density functional theory data (GGA-PBE) for a geometry-optimized KBaRu structure.

The structure in CIF format:
```
data_KBaRu
_cell_length_a 5.3426
_cell_length_b 5.3426
_cell_length_c 3.6303
_cell_angle_alpha 90.00
_cell_angle_beta 90.00
_cell_angle_gamma 120.00
_symmetry_space_group_name_H-M 'P 3 m 1'
_symmetry_Int_Tables_number 156
_symmetry_space_group_name_Hall 'P 3 -2"'
loop_
_atom_site_label
_atom_site_fract_x
_atom_site_fract_y
_atom_site_fract_z
K1 0.0000 0.0000 0.0000
Ba1 0.3333 0.6667 0.5873
Ru1 0.6667 0.3333 0.3577
```

Summary:
The calculated formation energy is 1.00 eV/atom. The calculation puts the density of states at the Fermi level at 1.230 states/eV per atom. Its relative energy among the computed polymorphs is 159 meV/atom.


[5]
Density functional theory data (GGA-PBE) for a geometry-optimized RePbAu2 structure.

The structure in CIF format:
```
data_RePbAu2
_cell_length_a 5.7603
_cell_length_b 8.8594
_cell_length_c 2.9691
_cell_angle_alpha 90.00
_cell_angle_beta 90.00
_cell_angle_gamma 90.00
_symmetry_space_group_name_H-M 'C m m m'
_symmetry_Int_Tables_number 65
_symmetry_space_group_name_Hall '-C 2 2'
loop_
_atom_site_label
_atom_site_fract_x
_atom_site_fract_y
_atom_site_fract_z
Re1 0.0000 0.0000 0.0000
Pb1 0.0000 0.5000 0.0000
Au1 0.2500 0.2500 0.5000
```

Summary:
The calculated formation energy is 0.63 eV/atom. The calculation puts the density of states at the Fermi level at 0.617 states/eV per atom.


[6]
Density functional theory data (GGA-PBE) for a geometry-optimized Ti2GaSe2 structure.

The structure in CIF format:
```
data_Ti2GaSe2
_cell_length_a 7.2440
_cell_length_b 7.2440
_cell_length_c 3.3326
_cell_angle_alpha 90.00
_cell_angle_beta 90.00
_cell_angle_gamma 90.00
_symmetry_space_group_name_H-M 'P 4/m b m'
_symmetry_Int_Tables_number 127
_symmetry_space_group_name_Hall '-P 4 2ab'
loop_
_atom_site_label
_atom_site_fract_x
_atom_site_fract_y
_atom_site_fract_z
Ti1 0.1471 0.3529 0.0000
Ga1 0.0000 0.0000 0.0000
Se1 0.1454 0.6454 0.5000
```

Summary:
The calculation puts the density of states at the Fermi level at 0.810 states/eV per atom. The uncorrected formation energy comes out at -0.66 eV per atom.


[7]
Density functional theory data (GGA-PBE) for a geometry-optimized Pt3SeN structure.

The structure in CIF format:
```
data_Pt3SeN
_cell_length_a 4.2523
_cell_length_b 4.2523
_cell_length_c 4.2523
_cell_angle_alpha 90.00
_cell_angle_beta 90.00
_cell_angle_gamma 90.00
_symmetry_space_group_name_H-M 'P m -3 m'
_symmetry_Int_Tables_number 221
_symmetry_space_group_name_Hall '-P 4 2 3'
loop_
_atom_site_label
_atom_site_fract_x
_atom_site_fract_y
_atom_site_fract_z
Pt1 0.0000 0.0000 0.5000
Se1 0.5000 0.5000 0.5000
N1 0.0000 0.0000 0.0000
```

Summary:
The calculation puts the density of states at the Fermi level at 0.698 states/eV per atom. Its relative energy among the computed polymorphs is 0 meV/atom. The uncorrected formation energy comes out at 0.73 eV per atom.


[8]
Density functional theory data (GGA-PBE) for a geometry-optimized Ce3CdH structure.

The structure in CIF format:
```
data_Ce3CdH
_cell_length_a 6.2253
_cell_length_b 6.2759
_cell_length_c 6.5324
_cell_angle_alpha 97.72
_cell_angle_beta 99.36
_cell_angle_gamma 117.98
_symmetry_space_group_name_H-M 'P -1'
_symmetry_Int_Tables_number 2
_symmetry_space_group_name_Hall '-P 1'
loop_
_atom_site_label
_atom_site_fract_x
_atom_site_fract_y
_atom_site_fract_z
Ce1 0.0152 0.2311 0.0569
Ce2 0.0760 0.8042 0.3839
Ce3 0.3670 0.6410 0.6225
Cd1 0.4733 0.2183 0.8391
H1 0.2088 0.2389 0.3979
```

Summary:
The calculation puts the density of states at the Fermi level at 2.343 states/eV per atom. Its relative energy among the computed polymorphs is 0 meV/atom.


Number 1: calculated volume 802.28 Å³ per cell. Number 2: calculated volume 345.24 Å³ per cell. Number 3: calculated volume 86.81 Å³ per cell. Number 4: calculated volume 89.74 Å³ per cell. Number 5: calculated volume 151.52 Å³ per cell. Number 6: calculated volume 174.88 Å³ per cell. Number 7: calculated volume 76.89 Å³ per cell. Number 8: calculated volume 215.79 Å³ per cell.